Entry 1:
A plane-wave DFT calculation with PBE-GGA was carried out for a geometry-optimized Na4Zr3ScTe8 structure.

extended XYZ file:
```
16
Lattice="4.126 2.382 7.774 -4.126 2.382 7.774 0.000 -4.764 7.774" Properties=species:S:1:pos:R:3 pbc="T T T"
Na 0.000 0.000 0.000
Na -2.063 -1.191 7.774
Na -2.063 1.191 15.549
Na 0.000 2.382 7.774
Zr -4.126 0.000 11.661
Zr -2.063 1.191 3.887
Zr 2.063 1.191 3.887
Sc 0.000 0.000 11.661
Te 0.000 0.000 5.646
Te -2.057 -1.188 13.407
Te 0.000 -2.375 9.916
Te -2.057 1.188 9.916
Te 2.057 -1.188 13.407
Te 0.000 2.375 13.407
Te 2.057 1.188 9.916
Te 0.000 0.000 17.677
```

Computed properties:
DOS at the Fermi energy	8.91	states/eV/cell
E	-4.871	eV/atom
space group	No. 166

***

Entry 2:
A plane-wave DFT calculation with PBE-GGA was carried out for a geometry-optimized BaNaHf2Ru structure.

extended XYZ file:
```
5
Lattice="5.156 0.000 0.000 0.000 5.156 0.000 0.000 0.000 4.931" Properties=species:S:1:pos:R:3 pbc="T T T"
Ba 0.000 0.000 0.000
Na 2.578 2.578 2.466
Hf 0.000 2.578 2.466
Hf 2.578 0.000 2.466
Ru 2.578 2.578 0.000
```

Computed properties:
DOS at the Fermi energy	8.82	states/eV/cell
energy of formation	1.62	eV per atom
space group	No. 123

***

Entry 3:
A plane-wave DFT calculation with PBE-GGA was carried out for a geometry-optimized La2Nd2Tm5 structure.

extended XYZ file:
```
9
Lattice="8.852 -1.743 0.000 8.852 1.743 0.000 -1.488 0.000 9.708" Properties=species:S:1:pos:R:3 pbc="T T T"
La 2.612 0.000 2.119
La 13.605 0.000 7.589
Nd 8.298 0.000 3.029
Nd 7.918 0.000 6.679
Tm 0.000 0.000 0.000
Tm 1.759 0.000 8.372
Tm 5.133 0.000 4.456
Tm 11.084 0.000 5.251
Tm 14.458 0.000 1.335
```

Computed properties:
DOS at the Fermi energy	15.51	states/eV/cell
relative energy among the computed polymorphs	0	meV per atom
energy of formation	0.15	eV per atom
space group	No. 12

***

Entry 4:
A plane-wave DFT calculation with PBE-GGA was carried out for a geometry-optimized V6FeW2 structure.

extended XYZ file:
```
9
Lattice="3.635 -3.862 0.000 3.635 3.862 0.000 -1.307 0.000 4.467" Properties=species:S:1:pos:R:3 pbc="T T T"
V 2.008 1.325 1.461
V 3.635 2.576 0.000
V 3.955 1.325 3.005
V 2.008 -1.325 1.461
V 3.635 -2.576 0.000
V 3.955 -1.325 3.005
Fe -0.653 0.000 2.233
W 1.299 0.000 3.669
W 4.663 0.000 0.798
```

Computed properties:
DOS at the Fermi energy	11.37	states/eV/cell
relative energy among the computed polymorphs	0	meV per atom
energy of formation	0.19	eV per atom
space group	No. 12

***

Entry 5:
A plane-wave DFT calculation with PBE-GGA was carried out for a geometry-optimized BaNbAs structure.

extended XYZ file:
```
6
Lattice="4.079 0.000 0.000 0.000 4.079 0.000 0.000 0.000 10.998" Properties=species:S:1:pos:R:3 pbc="T T T"
Ba 1.020 1.020 2.141
Ba 3.060 3.060 8.857
Nb 1.020 3.060 5.499
Nb 3.060 1.020 5.499
As 1.020 1.020 7.293
As 3.060 3.060 3.705
```

Computed properties:
DOS at the Fermi energy	2.28	states/eV/cell
energy of formation	-0.72	eV per atom
space group	No. 129

***

Entry 6:
A plane-wave DFT calculation with PBE-GGA was carried out for a geometry-optimized Pr12DyHo2 structure.

extended XYZ file:
```
30
Lattice="3.625 -5.864 0.000 3.625 5.864 0.000 0.000 0.000 25.203" Properties=species:S:1:pos:R:3 pbc="T T T"
Pr 1.824 2.932 3.284
Pr 3.625 5.839 23.364
Pr 1.957 2.932 14.759
Pr 3.625 5.577 11.083
Pr 1.813 0.000 4.997
Pr 1.813 0.000 8.164
Pr 1.813 0.000 17.039
Pr 1.813 0.000 20.205
Pr 3.625 0.286 11.083
Pr 5.294 2.932 14.759
Pr 3.625 0.025 23.364
Pr 5.426 2.932 3.284
Pr 1.824 -2.932 21.919
Pr 3.625 -0.025 1.839
Pr 1.957 -2.932 10.444
Pr 3.625 -0.286 14.120
Pr 5.438 0.000 4.997
Pr 5.438 0.000 8.164
Pr 5.438 0.000 17.039
Pr 5.438 0.000 20.205
Pr 3.625 -5.577 14.120
Pr 5.294 -2.932 10.444
Pr 3.625 -5.839 1.839
Pr 5.426 -2.932 21.919
Dy 3.625 2.932 0.024
Dy 3.625 -2.932 25.178
Ho 3.625 2.932 6.820
Ho 3.625 2.932 18.477
Ho 3.625 -2.932 6.726
Ho 3.625 -2.932 18.382
```

Computed properties:
DOS at the Fermi energy	43.04	states/eV/cell
energy of formation	0.15	eV per atom
space group	No. 67

***

Entry 7:
A plane-wave DFT calculation with PBE-GGA was carried out for a geometry-optimized Sm3Dy4Tm3 structure.

extended XYZ file:
```
10
Lattice="3.682 0.000 0.000 0.000 6.589 6.619 0.000 -6.589 6.619" Properties=species:S:1:pos:R:3 pbc="T T T"
Sm 0.000 0.000 0.000
Sm 0.000 -2.276 8.886
Sm 0.000 2.276 8.886
Dy 1.841 -1.661 2.308
Dy 1.841 1.661 2.308
Dy 1.841 0.000 7.202
Dy 1.841 0.000 10.576
Tm 0.000 0.000 4.566
Tm 1.841 -3.251 5.567
Tm 1.841 3.251 5.567
```

Computed properties:
DOS at the Fermi energy	7.88	states/eV/cell
energy of formation	0.10	eV per atom
space group	No. 38

***

Entry 8:
A plane-wave DFT calculation with PBE-GGA was carried out for a geometry-optimized LiAcPPt6 structure.

extended XYZ file:
```
18
Lattice="-3.451 4.508 5.623 3.451 -4.508 5.623 3.451 4.508 -5.623" Properties=species:S:1:pos:R:3 pbc="T T T"
Li -1.725 2.254 2.811
Li 1.725 2.254 2.811
Ac 3.451 2.254 -1.725
Ac 0.000 2.254 7.348
P 0.000 0.000 0.000
P 0.000 4.508 0.000
Pt 1.760 0.173 1.429
Pt 5.142 0.173 1.429
Pt 3.451 -2.254 4.848
Pt 3.451 2.254 1.179
Pt 1.760 4.681 -1.429
Pt 1.691 0.173 4.194
Pt 1.760 4.335 1.429
Pt 1.691 -0.173 7.051
Pt 0.000 2.254 4.443
Pt 0.000 6.762 0.774
Pt -1.691 4.335 4.194
Pt 1.691 4.335 4.194
```

Computed properties:
DOS at the Fermi energy	6.37	states/eV/cell
energy of formation	-0.47	eV per atom
space group	No. 74

***

Entry 9:
A plane-wave DFT calculation with PBE-GGA was carried out for a geometry-optimized LaCe4Lu structure.

extended XYZ file:
```
6
Lattice="0.000 4.477 4.477 4.477 0.000 4.477 4.477 4.477 0.000" Properties=species:S:1:pos:R:3 pbc="T T T"
La 0.000 0.000 0.000
Ce 3.407 3.407 3.407
Ce 5.547 5.547 3.407
Ce 5.547 3.407 5.547
Ce 3.407 5.547 5.547
Lu 6.715 6.715 6.715
```

Computed properties:
DOS at the Fermi energy	19.28	states/eV/cell
energy of formation	0.19	eV per atom
space group	No. 216

***

Entry 10:
A plane-wave DFT calculation with PBE-GGA was carried out for a geometry-optimized BaHfSe4 structure.

extended XYZ file:
```
6
Lattice="4.602 0.000 0.000 0.000 4.602 0.000 0.000 0.000 8.094" Properties=species:S:1:pos:R:3 pbc="T T T"
Ba 0.000 0.000 0.000
Hf 2.301 2.301 4.047
Se 0.000 2.301 2.404
Se 0.000 2.301 5.690
Se 2.301 0.000 2.404
Se 2.301 0.000 5.690
```

Computed properties:
DOS at the Fermi energy	2.22	states/eV/cell
relative energy among the computed polymorphs	115	meV per atom
space group	No. 123

***

Entry 11:
A plane-wave DFT calculation with PBE-GGA was carried out for a geometry-optimized Rb4HoNp3Se8 structure.

extended XYZ file:
```
16
Lattice="4.289 2.476 7.980 -4.289 2.476 7.980 0.000 -4.953 7.980" Properties=species:S:1:pos:R:3 pbc="T T T"
Rb 0.000 0.000 0.000
Rb -2.145 -1.238 7.980
Rb -2.145 1.238 15.960
Rb 0.000 2.476 7.980
Ho 0.000 0.000 11.970
Np -4.289 0.000 11.970
Np -2.145 1.238 3.990
Np 2.145 1.238 3.990
Se 0.000 0.000 5.540
Se -2.118 -1.223 13.531
Se 0.000 -2.445 10.409
Se -2.118 1.223 10.409
Se 2.118 -1.223 13.531
Se 0.000 2.445 13.531
Se 2.118 1.223 10.409
Se 0.000 0.000 18.400
```

Computed properties:
DOS at the Fermi energy	25.14	states/eV/cell
E	-6.052	eV/atom
space group	No. 166